No. 1
Below is a relaxed structure of Hf3InTc, with properties calculated at the PBE level.

The calculation puts the formation energy at 8.8 eV/f.u. The value obtained for the excess energy over the best structure of this formula in the dataset is 1368.4 meV per atom.

It has space group Pm-3m (No. 221), with a = 5.100 Å, b = 5.100 Å, c = 5.100 Å, α = 90.00°, β = 90.00° and γ = 90.00°. Symmetry generates all atoms from Hf at (0.000, 0.000, 0.500), In at (0.000, 0.000, 0.000) and Tc at (0.500, 0.500, 0.500).


No. 2
Below is a relaxed structure of BaZrS2, with properties calculated at the PBE level.

The energy relative to the elements, uncorrected comes out at -1.252 eV per atom. The value obtained for the excess energy over the best structure of this formula in the dataset is 39.8 meV per atom.

It has space group R-3m (No. 166, hexagonal axes), with a = 3.8009 Å, b = 3.8009 Å, c = 27.3110 Å, α = 90.00°, β = 90.00° and γ = 120.00°. Symmetry generates all atoms from Ba at (0.0000, 0.0000, 0.0000), Zr at (0.0000, 0.0000, 0.5000) and S at (0.0000, 0.0000, 0.1130).


No. 3
Below is a relaxed structure of PmDyTc2O8, with properties calculated at the PBE level.

The energy relative to the elements, uncorrected comes out at -2.236 eV per atom.

It has space group I-4 (No. 82), with a = 5.248 Å, b = 5.248 Å, c = 11.345 Å, α = 90.00°, β = 90.00° and γ = 90.00°. Symmetry generates all atoms from Pm at (0.000, 0.000, 0.000), Dy at (0.000, 0.500, 0.750), Tc at (0.000, 0.000, 0.500), Tc at (0.000, 0.500, 0.250), O at (0.162, 0.253, 0.588) and O at (0.171, 0.751, 0.165).


No. 4
Below is a relaxed structure of Ca2Pr4Ho, with properties calculated at the PBE level.

The calculation puts the formation energy at 3.6 eV/f.u. The value obtained for the excess energy over the best structure of this formula in the dataset is 401.3 meV per atom.

It has space group I4/mmm (No. 139), with a = 5.851 Å, b = 5.851 Å, c = 17.911 Å, α = 90.00°, β = 90.00° and γ = 90.00°. Symmetry generates all atoms from Ca at (0.000, 0.000, 0.182), Pr at (0.000, 0.000, 0.394), Pr at (0.000, 0.500, 0.000) and Ho at (0.000, 0.000, 0.000).


Calculated values (states/eV per cell) of N(E_F) for the records, taken in order: 5.917; 9.440; 0.720; 16.967.